No. 1
A relaxed Co3Sn2 crystal. Source: the Open Quantum Materials Database, functional PBE.

Lattice parameters (Å, degrees): 7.017 5.223 8.141 90.00 90.00 90.00
Element x y z (fractional)
Co  0.086  0.250  0.124
Co  0.233  0.509  0.878
Co  0.233  0.991  0.878
Co  0.267  0.009  0.378
Co  0.267  0.491  0.378
Co  0.414  0.750  0.624
Co  0.586  0.250  0.376
Co  0.733  0.509  0.622
Co  0.733  0.991  0.622
Co  0.767  0.009  0.122
Co  0.767  0.491  0.122
Co  0.914  0.750  0.876
Sn  0.061  0.750  0.594
Sn  0.101  0.750  0.149
Sn  0.399  0.250  0.649
Sn  0.439  0.250  0.094
Sn  0.561  0.750  0.906
Sn  0.601  0.750  0.351
Sn  0.899  0.250  0.851
Sn  0.939  0.250  0.406

**SG**: Pnma (62)
**Final energy**: -5.88 eV per atom
**V**: 14.92 Å³ per atom

***

No. 2
A relaxed CoSn crystal. Source: the Open Quantum Materials Database, functional PBE.

Lattice parameters (Å, degrees): 3.141 3.141 11.598 90.00 90.00 120.00
Element x y z (fractional)
Co  0.000  0.000  0.000
Co  0.333  0.667  0.667
Co  0.667  0.333  0.333
Sn  0.000  0.000  0.500
Sn  0.333  0.667  0.167
Sn  0.667  0.333  0.833

**SG**: R-3m (166)
**Final energy**: -5.32 eV per atom
**V**: 16.52 Å³ per atom

***

No. 3
A relaxed CoSn crystal. Source: the Open Quantum Materials Database, functional PBE.

Lattice parameters (Å, degrees): 5.285 5.285 4.219 90.00 90.00 120.00
Element x y z (fractional)
Co  0.000  0.500  0.000
Co  0.500  0.000  0.000
Co  0.500  0.500  0.000
Sn  0.000  0.000  0.000
Sn  0.333  0.667  0.500
Sn  0.667  0.333  0.500

**SG**: P6/mmm (191)
**Final energy**: -5.66 eV per atom
**V**: 17.01 Å³ per atom

***

No. 4
A relaxed Co10Sn crystal. Source: the Open Quantum Materials Database, functional PBE.

Lattice parameters (Å, degrees): 4.274 4.274 27.100 90.21 90.21 48.10
Element x y z (fractional)
Co  0.047  0.047  0.398
Co  0.050  0.050  0.689
Co  0.146  0.146  0.774
Co  0.150  0.150  0.486
Co  0.251  0.251  0.572
Co  0.253  0.253  0.282
Co  0.346  0.346  0.369
Co  0.352  0.352  0.660
Co  0.448  0.448  0.745
Co  0.449  0.449  0.457
Co  0.551  0.551  0.543
Co  0.552  0.552  0.255
Co  0.648  0.648  0.340
Co  0.654  0.654  0.631
Co  0.747  0.747  0.718
Co  0.749  0.749  0.428
Co  0.850  0.850  0.514
Co  0.854  0.854  0.226
Co  0.950  0.950  0.311
Co  0.953  0.953  0.602
Sn  0.150  0.150  0.181
Sn  0.850  0.850  0.819

**SG**: C2/m (12)
**Final energy**: -6.75 eV per atom
**V**: 16.75 Å³ per atom

***

No. 5
A relaxed CoSn crystal. Source: the Open Quantum Materials Database, functional PBE.

Lattice parameters (Å, degrees): 3.194 3.194 3.746 90.00 90.00 120.00
Element x y z (fractional)
Co  0.000  0.000  0.000
Sn  0.667  0.333  0.500

**SG**: P-6m2 (187)
**Final energy**: -5.36 eV per atom
**V**: 16.54 Å³ per atom

***

No. 6
A relaxed CoSn4 crystal. Source: the Open Quantum Materials Database, functional PBE.

Lattice parameters (Å, degrees): 6.853 6.823 8.370 52.43 52.10 75.47
Element x y z (fractional)
Co  0.000  0.000  0.000
Co  0.250  0.250  0.250
Sn  0.038  0.471  0.711
Sn  0.054  0.931  0.713
Sn  0.469  0.539  0.779
Sn  0.471  0.038  0.781
Sn  0.537  0.948  0.196
Sn  0.539  0.469  0.212
Sn  0.931  0.054  0.302
Sn  0.948  0.537  0.319

**SG**: Fdd2 (43)
**Final energy**: -4.60 eV per atom
**V**: 24.00 Å³ per atom

***

No. 7
A relaxed CoSn crystal. Source: the Open Quantum Materials Database, functional PBE.

Lattice parameters (Å, degrees): 5.178 5.178 5.178 90.00 90.00 90.00
Element x y z (fractional)
Co  0.000  0.000  0.000
Co  0.000  0.500  0.500
Co  0.500  0.000  0.500
Co  0.500  0.500  0.000
Sn  0.000  0.000  0.500
Sn  0.000  0.500  0.000
Sn  0.500  0.000  0.000
Sn  0.500  0.500  0.500

**SG**: Fm-3m (225)
**Final energy**: -5.21 eV per atom
**V**: 17.36 Å³ per atom

***

No. 8
A relaxed Co15Sn crystal. Source: the Open Quantum Materials Database, functional PBE.

Lattice parameters (Å, degrees): 4.961 3.491 33.617 90.00 90.00 90.00
Element x y z (fractional)
Co  0.121  0.250  0.239
Co  0.125  0.250  0.018
Co  0.125  0.250  0.092
Co  0.125  0.250  0.726
Co  0.125  0.250  0.797
Co  0.125  0.250  0.871
Co  0.125  0.250  0.945
Co  0.127  0.250  0.166
Co  0.371  0.750  0.761
Co  0.375  0.750  0.055
Co  0.375  0.750  0.129
Co  0.375  0.750  0.202
Co  0.375  0.750  0.908
Co  0.375  0.750  0.982
Co  0.377  0.750  0.834
Co  0.623  0.250  0.166
Co  0.625  0.250  0.018
Co  0.625  0.250  0.092
Co  0.625  0.250  0.798
Co  0.625  0.250  0.871
Co  0.625  0.250  0.945
Co  0.629  0.250  0.239
Co  0.873  0.750  0.834
Co  0.875  0.750  0.055
Co  0.875  0.750  0.129
Co  0.875  0.750  0.203
Co  0.875  0.750  0.274
Co  0.875  0.750  0.908
Co  0.875  0.750  0.982
Co  0.879  0.750  0.761
Sn  0.375  0.750  0.290
Sn  0.625  0.250  0.710

**SG**: P2_1/m (11)
**V**: 18.20 Å³ per atom
**ΔE to the lowest computed polymorph**: 0.60 kcal/mol of atoms

***

No. 9
A relaxed CoSn4 crystal. Source: the Open Quantum Materials Database, functional PBE.

Lattice parameters (Å, degrees): 6.300 6.300 5.697 90.00 90.00 90.00
Element x y z (fractional)
Co  0.250  0.250  0.000
Co  0.750  0.750  0.000
Sn  0.068  0.568  0.249
Sn  0.068  0.932  0.751
Sn  0.432  0.568  0.751
Sn  0.432  0.932  0.249
Sn  0.568  0.068  0.751
Sn  0.568  0.432  0.249
Sn  0.932  0.068  0.249
Sn  0.932  0.432  0.751

**SG**: P4/nbm (125)
**Final energy**: -4.66 eV per atom
**V**: 22.61 Å³ per atom

***

No. 10
A relaxed Co15Sn crystal. Source: the Open Quantum Materials Database, functional PBE.

Lattice parameters (Å, degrees): 4.276 33.233 4.275 90.00 109.13 90.00
Element x y z (fractional)
Co  0.000  0.018  0.250
Co  0.000  0.056  0.750
Co  0.000  0.093  0.250
Co  0.000  0.131  0.750
Co  0.000  0.168  0.250
Co  0.000  0.206  0.750
Co  0.000  0.242  0.250
Co  0.000  0.758  0.750
Co  0.000  0.794  0.250
Co  0.000  0.832  0.750
Co  0.000  0.869  0.250
Co  0.000  0.907  0.750
Co  0.000  0.944  0.250
Co  0.000  0.982  0.750
Co  0.500  0.019  0.750
Co  0.500  0.056  0.250
Co  0.500  0.093  0.750
Co  0.500  0.130  0.250
Co  0.500  0.168  0.750
Co  0.500  0.204  0.250
Co  0.500  0.242  0.750
Co  0.500  0.276  0.250
Co  0.500  0.724  0.750
Co  0.500  0.758  0.250
Co  0.500  0.796  0.750
Co  0.500  0.832  0.250
Co  0.500  0.870  0.750
Co  0.500  0.907  0.250
Co  0.500  0.944  0.750
Co  0.500  0.981  0.250
Sn  0.000  0.295  0.750
Sn  0.000  0.705  0.250

**SG**: P2/c (13)
**V**: 17.93 Å³ per atom
**ΔE to the lowest computed polymorph**: 0.55 kcal/mol of atoms

***

No. 11
A relaxed Co2Sn crystal. Source: the Open Quantum Materials Database, functional PBE.

Lattice parameters (Å, degrees): 7.145 7.145 2.887 90.00 90.00 120.00
Element x y z (fractional)
Co  0.000  0.301  0.000
Co  0.000  0.633  0.500
Co  0.301  0.000  0.000
Co  0.367  0.367  0.500
Co  0.633  0.000  0.500
Co  0.699  0.699  0.000
Sn  0.000  0.000  0.500
Sn  0.333  0.667  0.000
Sn  0.667  0.333  0.000

**SG**: P-62m (189)
**Final energy**: -5.84 eV per atom
**V**: 14.18 Å³ per atom

***

No. 12
A relaxed Co15Sn crystal. Source: the Open Quantum Materials Database, functional PBE.

Lattice parameters (Å, degrees): 6.947 2.526 33.365 90.00 90.00 90.00
Element x y z (fractional)
Co  0.118  0.250  0.240
Co  0.125  0.250  0.092
Co  0.125  0.250  0.725
Co  0.125  0.250  0.797
Co  0.125  0.250  0.871
Co  0.125  0.250  0.945
Co  0.126  0.250  0.019
Co  0.128  0.250  0.166
Co  0.368  0.750  0.760
Co  0.375  0.750  0.055
Co  0.375  0.750  0.130
Co  0.375  0.750  0.204
Co  0.375  0.750  0.908
Co  0.376  0.750  0.982
Co  0.378  0.750  0.834
Co  0.622  0.250  0.166
Co  0.624  0.250  0.018
Co  0.625  0.250  0.092
Co  0.625  0.250  0.796
Co  0.625  0.250  0.870
Co  0.625  0.250  0.945
Co  0.632  0.250  0.240
Co  0.872  0.750  0.834
Co  0.874  0.750  0.981
Co  0.875  0.750  0.055
Co  0.875  0.750  0.129
Co  0.875  0.750  0.203
Co  0.875  0.750  0.275
Co  0.875  0.750  0.908
Co  0.882  0.750  0.760
Sn  0.375  0.750  0.290
Sn  0.625  0.250  0.710

**SG**: P2_1/m (11)
**V**: 18.30 Å³ per atom
**ΔE to the lowest computed polymorph**: 2.00 kcal/mol of atoms

***

No. 13
A relaxed Co2Sn crystal. Source: the Open Quantum Materials Database, functional PBE.

Lattice parameters (Å, degrees): 5.183 5.183 4.200 90.00 90.00 90.00
Element x y z (fractional)
Co  0.168  0.168  0.000
Co  0.332  0.668  0.500
Co  0.668  0.332  0.500
Co  0.832  0.832  0.000
Sn  0.000  0.000  0.500
Sn  0.500  0.500  0.000

**SG**: P4_2/mnm (136)
**Final energy**: -5.00 eV per atom
**V**: 18.80 Å³ per atom

***

No. 14
A relaxed SrCoSn2 crystal. Source: the Open Quantum Materials Database, functional PBE.

Lattice parameters (Å, degrees): 7.259 7.259 7.259 90.00 90.00 90.00
Element x y z (fractional)
Sr  0.000  0.000  0.000
Sr  0.000  0.500  0.500
Sr  0.500  0.000  0.500
Sr  0.500  0.500  0.000
Co  0.250  0.250  0.250
Co  0.250  0.750  0.750
Co  0.750  0.250  0.750
Co  0.750  0.750  0.250
Sn  0.000  0.000  0.500
Sn  0.000  0.500  0.000
Sn  0.250  0.250  0.750
Sn  0.250  0.750  0.250
Sn  0.500  0.000  0.000
Sn  0.500  0.500  0.500
Sn  0.750  0.250  0.250
Sn  0.750  0.750  0.750

**SG**: F-43m (216)
**Final energy**: -3.98 eV per atom
**V**: 23.91 Å³ per atom

***

No. 15
A relaxed Sr2CoSn crystal. Source: the Open Quantum Materials Database, functional PBE.

Lattice parameters (Å, degrees): 7.396 7.396 7.396 90.00 90.00 90.00
Element x y z (fractional)
Sr  0.000  0.000  0.000
Sr  0.000  0.500  0.500
Sr  0.250  0.250  0.250
Sr  0.250  0.750  0.750
Sr  0.500  0.000  0.500
Sr  0.500  0.500  0.000
Sr  0.750  0.250  0.750
Sr  0.750  0.750  0.250
Co  0.250  0.250  0.750
Co  0.250  0.750  0.250
Co  0.750  0.250  0.250
Co  0.750  0.750  0.750
Sn  0.000  0.000  0.500
Sn  0.000  0.500  0.000
Sn  0.500  0.000  0.000
Sn  0.500  0.500  0.500

**SG**: F-43m (216)
**Final energy**: -3.46 eV per atom
**V**: 25.29 Å³ per atom

***

No. 16
A relaxed TaCo2Sn crystal. Source: the Open Quantum Materials Database, functional PBE.

Lattice parameters (Å, degrees): 6.198 6.198 6.198 90.00 90.00 90.00
Element x y z (fractional)
Ta  0.000  0.000  0.000
Ta  0.000  0.500  0.500
Ta  0.500  0.000  0.500
Ta  0.500  0.500  0.000
Co  0.000  0.000  0.500
Co  0.000  0.500  0.000
Co  0.250  0.250  0.250
Co  0.250  0.750  0.750
Co  0.500  0.000  0.000
Co  0.500  0.500  0.500
Co  0.750  0.250  0.750
Co  0.750  0.750  0.250
Sn  0.250  0.250  0.750
Sn  0.250  0.750  0.250
Sn  0.750  0.250  0.250
Sn  0.750  0.750  0.750

**SG**: F-43m (216)
**Final energy**: -7.24 eV per atom
**V**: 14.88 Å³ per atom

***

No. 17
A relaxed Ta2CoSn crystal. Source: the Open Quantum Materials Database, functional PBE.

Lattice parameters (Å, degrees): 6.489 6.489 6.489 90.00 90.00 90.00
Element x y z (fractional)
Ta  0.000  0.000  0.000
Ta  0.000  0.500  0.500
Ta  0.250  0.250  0.250
Ta  0.250  0.750  0.750
Ta  0.500  0.000  0.500
Ta  0.500  0.500  0.000
Ta  0.750  0.250  0.750
Ta  0.750  0.750  0.250
Co  0.250  0.250  0.750
Co  0.250  0.750  0.250
Co  0.750  0.250  0.250
Co  0.750  0.750  0.750
Sn  0.000  0.000  0.500
Sn  0.000  0.500  0.000
Sn  0.500  0.000  0.000
Sn  0.500  0.500  0.500

**SG**: F-43m (216)
**Final energy**: -8.40 eV per atom
**V**: 17.07 Å³ per atom

***

No. 18
A relaxed TaCoSnW crystal. Source: the Open Quantum Materials Database, functional PBE.

Lattice parameters (Å, degrees): 6.387 6.387 6.387 90.00 90.00 90.00
Element x y z (fractional)
Ta  0.000  0.000  0.000
Ta  0.000  0.500  0.500
Ta  0.500  0.000  0.500
Ta  0.500  0.500  0.000
Co  0.250  0.250  0.750
Co  0.250  0.750  0.250
Co  0.750  0.250  0.250
Co  0.750  0.750  0.750
Sn  0.000  0.000  0.500
Sn  0.000  0.500  0.000
Sn  0.500  0.000  0.000
Sn  0.500  0.500  0.500
W  0.250  0.250  0.250
W  0.250  0.750  0.750
W  0.750  0.250  0.750
W  0.750  0.750  0.250

**SG**: F-43m (216)
**V**: 16.29 Å³ per atom
**ΔE to the lowest computed polymorph**: 0.00 kcal/mol of atoms

***

No. 19
A relaxed TaZnCoSn crystal. Source: the Open Quantum Materials Database, functional PBE.

Lattice parameters (Å, degrees): 6.389 6.389 6.389 90.00 90.00 90.00
Element x y z (fractional)
Ta  0.000  0.000  0.000
Ta  0.000  0.500  0.500
Ta  0.500  0.000  0.500
Ta  0.500  0.500  0.000
Zn  0.250  0.250  0.750
Zn  0.250  0.750  0.250
Zn  0.750  0.250  0.250
Zn  0.750  0.750  0.750
Co  0.000  0.000  0.500
Co  0.000  0.500  0.000
Co  0.500  0.000  0.000
Co  0.500  0.500  0.500
Sn  0.250  0.250  0.250
Sn  0.250  0.750  0.750
Sn  0.750  0.250  0.750
Sn  0.750  0.750  0.250

**SG**: F-43m (216)
**V**: 16.30 Å³ per atom
**ΔE to the lowest computed polymorph**: 3.36 kcal/mol of atoms

***

No. 20
A relaxed TaZnCoSn crystal. Source: the Open Quantum Materials Database, functional PBE.

Lattice parameters (Å, degrees): 6.327 6.327 6.327 90.00 90.00 90.00
Element x y z (fractional)
Ta  0.000  0.000  0.000
Ta  0.000  0.500  0.500
Ta  0.500  0.000  0.500
Ta  0.500  0.500  0.000
Zn  0.250  0.250  0.250
Zn  0.250  0.750  0.750
Zn  0.750  0.250  0.750
Zn  0.750  0.750  0.250
Co  0.250  0.250  0.750
Co  0.250  0.750  0.250
Co  0.750  0.250  0.250
Co  0.750  0.750  0.750
Sn  0.000  0.000  0.500
Sn  0.000  0.500  0.000
Sn  0.500  0.000  0.000
Sn  0.500  0.500  0.500

**SG**: F-43m (216)
**V**: 15.83 Å³ per atom
**ΔE to the lowest computed polymorph**: 0.00 kcal/mol of atoms